Entry from Alexandria via LeMat-Bulk: a geometry-optimized Si2NiPb structure (PBE).

```
data_Si2NiPb
_chemical_formula_sum 'Si2 Ni1 Pb1'
_cell_length_a 3.017
_cell_length_b 3.017
_cell_length_c 7.837
_cell_angle_alpha 90.00
_cell_angle_beta 90.00
_cell_angle_gamma 90.00
_symmetry_space_group_name_H-M 'P 1'
_symmetry_Int_Tables_number 1
_symmetry_space_group_name_Hall 'P 1'
loop_
_atom_site_label
_atom_site_type_symbol
_atom_site_fract_x
_atom_site_fract_y
_atom_site_fract_z
Ni1 Ni 0.500 0.500 0.250
Si1 Si 0.000 0.000 0.081
Si2 Si 0.000 0.000 0.419
Pb1 Pb 0.500 0.500 0.750
```

Results
E_form (uncorrected): 170 meV per atom